(1)
The following is a DFT calculation (PBE-GGA) of a geometry-optimized Fe4ReTe structure.

Summary:
Size of the total moment   9.5 μB per formula unit
E   -7.804 eV/atom
Formation energy from raw total energies   436 meV per atom

CIF file:
```
data_Fe4ReTe
_chemical_formula_sum 'Fe4 Re1 Te1'
_symmetry_space_group_name_H-M 'P 1'
_symmetry_Int_Tables_number 1
_cell_length_a 4.869
_cell_length_b 4.869
_cell_length_c 4.869
_cell_angle_alpha 60.00
_cell_angle_beta 60.00
_cell_angle_gamma 60.00
loop_
_symmetry_equiv_pos_as_xyz
'x,y,z'
loop_
_atom_site_label
_atom_site_type_symbol
_atom_site_fract_x
_atom_site_fract_y
_atom_site_fract_z
Fe1 Fe 0.124 0.124 0.124
Fe2 Fe 0.124 0.124 0.628
Fe3 Fe 0.124 0.628 0.124
Fe4 Fe 0.628 0.124 0.124
Re1 Re 0.750 0.750 0.750
Te1 Te 0.500 0.500 0.500
```

(2)
The following is a DFT calculation (PBE-GGA) of a geometry-optimized Cs3KTe2 structure.

Summary:
Size of the total moment   0.0 μB per formula unit
E   -2.664 eV/atom
Formation energy from raw total energies   -1007 meV per atom

CIF file:
```
data_Cs3KTe2
_chemical_formula_sum 'Cs6 K2 Te4'
_symmetry_space_group_name_H-M 'P 1'
_symmetry_Int_Tables_number 1
_cell_length_a 11.117
_cell_length_b 11.117
_cell_length_c 11.117
_cell_angle_alpha 136.10
_cell_angle_beta 62.54
_cell_angle_gamma 137.79
loop_
_symmetry_equiv_pos_as_xyz
'x,y,z'
loop_
_atom_site_label
_atom_site_type_symbol
_atom_site_fract_x
_atom_site_fract_y
_atom_site_fract_z
Cs1 Cs 0.183 0.728 0.911
Cs2 Cs 0.250 0.250 0.000
Cs3 Cs 0.317 0.228 0.545
Cs4 Cs 0.683 0.772 0.455
Cs5 Cs 0.750 0.750 0.000
Cs6 Cs 0.817 0.272 0.089
K1 K 0.250 0.750 0.500
K2 K 0.750 0.250 0.500
Te1 Te 0.118 0.273 0.391
Te2 Te 0.382 0.773 0.154
Te3 Te 0.618 0.227 0.846
Te4 Te 0.882 0.727 0.609
```

(3)
The following is a DFT calculation (PBE-GGA) of a geometry-optimized HoPuIn structure.

Summary:
Size of the total moment   6.1 μB per formula unit
Energy relative to the elements   -0.227 eV/atom
Relative energy among the computed polymorphs   0.000 eV per formula unit
E   -7.443 eV/atom

CIF file:
```
data_HoPuIn
_chemical_formula_sum 'Ho2 Pu2 In2'
_symmetry_space_group_name_H-M 'P 1'
_symmetry_Int_Tables_number 1
_cell_length_a 5.408
_cell_length_b 5.408
_cell_length_c 6.414
_cell_angle_alpha 90.00
_cell_angle_beta 90.00
_cell_angle_gamma 120.00
loop_
_symmetry_equiv_pos_as_xyz
'x,y,z'
loop_
_atom_site_label
_atom_site_type_symbol
_atom_site_fract_x
_atom_site_fract_y
_atom_site_fract_z
Ho1 Ho 0.333 0.667 0.250
Ho2 Ho 0.667 0.333 0.750
Pu1 Pu 0.000 0.000 0.000
Pu2 Pu 0.000 0.000 0.500
In1 In 0.333 0.667 0.750
In2 In 0.667 0.333 0.250
```

(4)
The following is a DFT calculation (PBE-GGA) of a geometry-optimized Cs3SnOs structure.

Summary:
Size of the total moment   2.7 μB per formula unit
Energy relative to the elements   1.211 eV/atom
E   -2.348 eV/atom

CIF file:
```
data_Cs3SnOs
_chemical_formula_sum 'Cs3 Sn1 Os1'
_symmetry_space_group_name_H-M 'P 1'
_symmetry_Int_Tables_number 1
_cell_length_a 6.124
_cell_length_b 6.124
_cell_length_c 6.124
_cell_angle_alpha 90.00
_cell_angle_beta 90.00
_cell_angle_gamma 90.00
loop_
_symmetry_equiv_pos_as_xyz
'x,y,z'
loop_
_atom_site_label
_atom_site_type_symbol
_atom_site_fract_x
_atom_site_fract_y
_atom_site_fract_z
Cs1 Cs 0.000 0.000 0.500
Cs2 Cs 0.000 0.500 0.000
Cs3 Cs 0.500 0.000 0.000
Sn1 Sn 0.500 0.500 0.500
Os1 Os 0.000 0.000 0.000
```

(5)
The following is a DFT calculation (PBE-GGA) of a geometry-optimized Ca3Ga3Ge3O14 structure.

Summary:
Size of the total moment   1.1 μB per formula unit
E   -6.357 eV/atom
Formation energy from raw total energies   -2081 meV per atom

CIF file:
```
data_Ca3Ga3Ge3O14
_chemical_formula_sum 'Ca3 Ga3 Ge3 O14'
_symmetry_space_group_name_H-M 'P 1'
_symmetry_Int_Tables_number 1
_cell_length_a 8.237
_cell_length_b 8.237
_cell_length_c 5.038
_cell_angle_alpha 90.00
_cell_angle_beta 90.00
_cell_angle_gamma 120.00
loop_
_symmetry_equiv_pos_as_xyz
'x,y,z'
loop_
_atom_site_label
_atom_site_type_symbol
_atom_site_fract_x
_atom_site_fract_y
_atom_site_fract_z
Ca1 Ca 0.000 0.580 0.000
Ca2 Ca 0.420 0.420 0.000
Ca3 Ca 0.580 0.000 0.000
Ga1 Ga 0.000 0.244 0.500
Ga2 Ga 0.244 0.000 0.500
Ga3 Ga 0.756 0.756 0.500
Ge1 Ge 0.000 0.000 0.000
Ge2 Ge 0.333 0.667 0.542
Ge3 Ge 0.667 0.333 0.458
O1 O 0.078 0.864 0.230
O2 O 0.136 0.215 0.230
O3 O 0.147 0.465 0.698
O4 O 0.215 0.136 0.770
O5 O 0.318 0.853 0.698
O6 O 0.333 0.667 0.198
O7 O 0.465 0.147 0.302
O8 O 0.535 0.682 0.698
O9 O 0.667 0.333 0.802
O10 O 0.682 0.535 0.302
O11 O 0.785 0.922 0.230
O12 O 0.853 0.318 0.302
O13 O 0.864 0.078 0.770
O14 O 0.922 0.785 0.770
```

(6)
The following is a DFT calculation (PBE-GGA) of a geometry-optimized BaLi2Pm2Ge2 structure.

Summary:
Size of the total moment   0.0 μB per formula unit
Energy relative to the elements   -0.478 eV/atom
E   -3.976 eV/atom

CIF file:
```
data_BaLi2Pm2Ge2
_chemical_formula_sum 'Ba1 Li2 Pm2 Ge2'
_symmetry_space_group_name_H-M 'P 1'
_symmetry_Int_Tables_number 1
_cell_length_a 10.062
_cell_length_b 10.062
_cell_length_c 10.062
_cell_angle_alpha 27.24
_cell_angle_beta 27.24
_cell_angle_gamma 27.24
loop_
_symmetry_equiv_pos_as_xyz
'x,y,z'
loop_
_atom_site_label
_atom_site_type_symbol
_atom_site_fract_x
_atom_site_fract_y
_atom_site_fract_z
Ba1 Ba 0.000 0.000 0.000
Li1 Li 0.418 0.418 0.418
Li2 Li 0.582 0.582 0.582
Pm1 Pm 0.131 0.131 0.131
Pm2 Pm 0.869 0.869 0.869
Ge1 Ge 0.248 0.248 0.248
Ge2 Ge 0.752 0.752 0.752
```